{"formula": "ZnInAg3", "functional": "PBE-GGA", "state": "relaxed", "lattice": [[-0.562, -5.199, -0.461], [2.119, -0.651, 4.759], [-4.770, 0.324, 2.169]], "species": ["Ag", "Zn", "Ag", "Ag", "In"], "fractional_positions": [[0.500, 0.000, 0.000], [0.500, 0.500, 0.500], [0.000, 0.000, 0.500], [0.000, 0.500, 0.000], [0.000, 0.000, 0.000]], "relative_energy_mev_per_atom": 707}

{"formula": "Zn5InAg6", "functional": "PBE-GGA", "state": "relaxed", "lattice": [[-0.689, -7.024, -4.954], [2.995, -0.788, -2.841], [4.737, -3.784, 2.935]], "species": ["In", "Zn", "Zn", "Ag", "Zn", "Ag", "Zn", "Ag", "Zn", "Ag", "Ag", "Ag"], "fractional_positions": [[0.000, 0.000, 0.000], [0.500, 0.168, 0.664], [0.000, 0.672, 0.656], [0.743, 0.427, 0.661], [0.000, 0.328, 0.344], [0.733, 0.767, 0.000], [0.500, 0.832, 0.336], [0.257, 0.912, 0.661], [0.500, 0.500, 0.000], [0.267, 0.233, 0.000], [0.743, 0.088, 0.339], [0.257, 0.573, 0.339]]}

{"formula": "ZnIn6Ag10", "functional": "PBE-GGA", "state": "relaxed", "lattice": [[-3.433, -4.665, 0.085], [5.048, -3.616, 5.506], [-6.318, 4.698, 2.624]], "species": ["Ag", "Zn", "Ag", "In", "Ag", "Ag", "In", "Ag", "Ag", "Ag", "In", "In", "In", "Ag", "Ag", "In", "Ag"], "fractional_positions": [[0.837, 0.691, 0.691], [0.500, 0.000, 0.000], [0.837, 0.000, 0.309], [0.323, 0.343, 0.000], [0.000, 0.333, 0.667], [0.500, 0.333, 0.667], [0.323, 0.657, 0.657], [0.163, 0.691, 0.000], [0.163, 0.309, 0.309], [0.163, 0.000, 0.691], [0.677, 0.657, 0.000], [0.323, 0.000, 0.343], [0.677, 0.000, 0.657], [0.000, 0.667, 0.333], [0.837, 0.309, 0.000], [0.677, 0.343, 0.343], [0.500, 0.667, 0.333]]}

{"formula": "Zn2In2Ag", "functional": "PBE-GGA", "state": "relaxed", "lattice": [[-0.077, 3.624, -0.097], [-1.960, 0.040, 3.051], [5.848, 2.097, 5.884]], "species": ["Zn", "Zn", "In", "Ag", "In"], "fractional_positions": [[0.250, 0.750, 0.500], [0.750, 0.250, 0.500], [0.398, 0.398, 0.205], [0.000, 0.000, 0.000], [0.602, 0.602, 0.795]], "relative_energy_mev_per_atom": 79}

{"formula": "Zr3In2Ag", "functional": "PBE-GGA", "state": "relaxed", "lattice": [[-2.640, 2.660, 0.393], [-2.566, -2.329, -1.481], [-1.955, -3.178, 8.384]], "species": ["Zr", "Zr", "Ag", "In", "In", "Zr"], "fractional_positions": [[0.000, 0.000, 0.340], [0.000, 0.000, 0.000], [0.500, 0.500, 0.500], [0.500, 0.500, 0.172], [0.500, 0.500, 0.828], [0.000, 0.000, 0.660]]}

{"formula": "ZrInAg3", "functional": "PBE-GGA", "state": "relaxed", "lattice": [[-3.141, 3.268, 0.773], [-2.733, -1.855, -3.262], [-5.520, -3.652, 6.702]], "species": ["In", "Ag", "In", "Zr", "Ag", "Ag", "Ag", "Zr", "Ag", "Ag"], "fractional_positions": [[0.853, 0.844, 0.013], [0.252, 0.844, 0.215], [0.558, 0.344, 0.602], [0.354, 0.344, 0.009], [0.159, 0.344, 0.400], [0.659, 0.844, 0.402], [0.455, 0.844, 0.808], [0.057, 0.844, 0.605], [0.752, 0.344, 0.213], [0.956, 0.344, 0.806]], "relative_energy_mev_per_atom": 0}

E_tot: -1.82 -2.20 -2.66 -2.04 -5.80 -4.04 (eV/atom)
Volume: 28.93 16.91 20.32 21.47 21.72 19.50 (Å³/atom)
Formation energy from the elements: 0.694 -0.012 0.057 0.133 -0.142 -0.073 (eV per atom)